Here is a relaxed structure of LaPtW from OQMD via LeMat-Bulk. Energies are from PBE.

For the energy of formation, the calculation gives 1193.8 meV/atom. The volume comes out at 297.5 Å³ per cell. Its density is 11.6 Mg/m³. As for the crystal system: cubic.

The structure belongs to space group F-43m (No. 216); the cell edges are 6.676, 6.676 and 6.676 Å and the angles 90.00°, 90.00° and 90.00°. The distinct sites, in fractional coordinates, are La at (0.000, 0.000, 0.000), Pt at (0.250, 0.250, 0.750) and W at (0.250, 0.250, 0.250).

=====

Here is a relaxed structure of TmLuSnC from OQMD via LeMat-Bulk. Energies are from PBE.

The volume comes out at 169.2 Å³ per cell. The final energy is -0.4528 Ry/atom. Its density is 9.3 Mg/m³. As for the crystal system: hexagonal.

The structure belongs to space group P6_3mc (No. 186); the cell edges are 3.5489, 3.5489 and 15.5092 Å and the angles 90.00°, 90.00° and 120.00°. The distinct sites, in fractional coordinates, are Tm at (0.3333, 0.6667, 0.0000), Lu at (0.3333, 0.6667, 0.3324), Sn at (0.3333, 0.6667, 0.6667) and C at (0.0000, 0.0000, 0.4155).

=====

Here is a relaxed structure of Tb2DyFe2B2N3 from OQMD via LeMat-Bulk. Energies are from PBE.

The volume comes out at 244.0 Å³ per cell. The final energy is -0.5910 Ry/atom. Its density is 8.9 Mg/m³. As for the crystal system: tetragonal.

The structure belongs to space group I4/mmm (No. 139); the cell edges are 3.458, 3.458 and 20.396 Å and the angles 90.00°, 90.00° and 90.00°. The distinct sites, in fractional coordinates, are Tb at (0.000, 0.000, 0.122), Dy at (0.000, 0.000, 0.500), Fe at (0.000, 0.500, 0.250), B at (0.000, 0.000, 0.312), N at (0.000, 0.000, 0.000) and N at (0.000, 0.000, 0.385).

=====

Here is a relaxed structure of SmInCoTe3 from OQMD via LeMat-Bulk. Energies are from PBE.

The volume comes out at 730.7 Å³ per cell. The final energy is -0.3350 Ry/atom. Its density is 6.4 Mg/m³. As for the crystal system: orthorhombic.

The structure belongs to space group Cmcm (No. 63); the cell edges are 4.178, 15.349 and 11.395 Å and the angles 90.00°, 90.00° and 90.00°. The distinct sites, in fractional coordinates, are Sm at (0.000, 0.000, 0.000), In at (0.000, 0.246, 0.250), Co at (0.000, 0.475, 0.750), Te at (0.000, 0.078, 0.750) and Te at (0.000, 0.363, 0.581).

=====

Here is a relaxed structure of YMg6Au from OQMD via LeMat-Bulk. Energies are from PBE.

The volume comes out at 180.9 Å³ per cell. The final energy is -0.1813 Ry/atom. Its density is 4.0 Mg/m³. As for the crystal system: hexagonal.

The structure belongs to space group P-6m2 (No. 187); the cell edges are 6.4707, 6.4707 and 4.9877 Å and the angles 90.00°, 90.00° and 120.00°. The distinct sites, in fractional coordinates, are Y at (0.0000, 0.0000, 0.0000), Mg at (0.1700, 0.3399, 0.5000), Mg at (0.5013, 0.0027, 0.0000) and Au at (0.6667, 0.3333, 0.5000).

=====

Here is a relaxed structure of LiLuNiS3 from OQMD via LeMat-Bulk. Energies are from PBE.

The volume comes out at 244.4 Å³ per cell. The final energy is -0.3914 Ry/atom. Its density is 4.6 Mg/m³. As for the crystal system: monoclinic.

The structure belongs to space group P2_1/m (No. 11); the cell edges are 7.334, 3.728 and 9.178 Å and the angles 90.00°, 103.18° and 90.00°. The distinct sites, in fractional coordinates, are Li at (0.172, 0.250, 0.142), Lu at (0.328, 0.750, 0.847), Ni at (0.078, 0.250, 0.593), S at (0.070, 0.250, 0.841), S at (0.215, 0.750, 0.540) and S at (0.413, 0.750, 0.146).